# 1
Material: TmTl2InS4
Method: DFT, PBE-GGA
State: relaxed

Results
Electronic total energy: -36.3 eV for the cell shown
Density of states at the Fermi level: 0.01 states/eV/atom
Formation energy from raw total energies: -0.98 eV/atom

```
8
Lattice="6.851 0.000 0.000 0.000 3.934 0.000 -2.335 0.000 7.533" Properties=species:S:1:pos:R:3 pbc="T T T"
Tm 0.000 0.000 0.000
Tl -1.167 1.967 3.767
Tl 2.258 0.000 3.767
In 3.425 1.967 0.000
S 1.132 1.967 1.485
S -0.005 0.000 6.082
S 4.521 0.000 1.451
S 3.385 1.967 6.048
```

=====

# 2
Material: U3Tl3InS8
Method: DFT, PBE-GGA
State: relaxed

Results
Electronic total energy: -90.9 eV for the cell shown
Density of states at the Fermi level: 0.95 states/eV/atom
Formation energy from raw total energies: -0.95 eV/atom

```
15
Lattice="4.039 2.332 7.507 -4.039 2.332 7.507 0.000 -4.664 7.507" Properties=species:S:1:pos:R:3 pbc="T T T"
U -2.020 -1.166 7.507
U -2.020 1.166 15.014
U 0.000 2.332 7.507
Tl -4.039 0.000 11.261
Tl -2.020 1.166 3.754
Tl 2.020 1.166 3.754
In 0.000 0.000 0.000
S 0.000 -2.292 8.943
S -1.985 1.146 8.943
S 0.000 0.000 6.033
S -1.985 -1.146 13.579
S 1.985 1.146 8.943
S 0.000 0.000 16.488
S 1.985 -1.146 13.579
S 0.000 2.292 13.579
```

=====

# 3
Material: Tl2VInS4
Method: DFT, PBE-GGA
State: relaxed

Results
Electronic total energy: -73.7 eV for the cell shown
Density of states at the Fermi level: 0.20 states/eV/atom
Formation energy from raw total energies: -0.47 eV/atom

```
16
Lattice="0.000 6.712 11.489 3.105 0.000 11.489 3.105 6.712 0.000" Properties=species:S:1:pos:R:3 pbc="T T T"
Tl 2.329 5.034 1.538
Tl 3.881 8.391 7.283
Tl 2.329 5.034 15.696
Tl 3.881 8.391 21.440
V 2.329 5.034 8.617
V 3.881 8.391 14.362
In 0.776 1.678 2.872
In 5.434 11.747 20.106
S 2.462 3.076 4.052
S 3.748 6.432 9.797
S 2.195 6.993 4.052
S 2.195 3.076 13.182
S 4.015 10.349 9.797
S 4.015 6.432 18.927
S 2.462 6.993 13.182
S 3.748 10.349 18.927
```

=====

Number 1 is which compound? TmTl2InS4

=====

formation energy from raw total energies of number 2 (U3Tl3InS8)? -0.95 eV/atom